ErTiPtAu | GGA-PBE | optimized geometry

```
ErTiPtAu
1.0
-4.542 0.326 -1.451
-3.559 -0.631 3.127
-2.680 3.719 1.353
Ti Au Pt Er
1 1 1 1
direct
0.250 0.250 0.250
0.000 0.000 0.000
0.500 0.500 0.500
0.750 0.750 0.750
```

Properties
* density: 13.058 Mg/m³
* DFT total energy: -6.15 eV/atom
* ΔH_f (0 K): -2.83 eV/f.u.
* SG: F-43m (216)
* DOS at the Fermi energy: 1.1472 states/eV/atom



V2TePbI | GGA-PBE | optimized geometry

```
V2TePbI
1.0
-4.494 2.471 -0.903
1.026 -0.436 -6.304
-2.495 -4.570 -0.090
Pb I Te V
1 1 1 2
direct
0.000 0.500 0.000
0.500 0.500 0.500
0.000 0.000 0.000
0.000 0.000 0.500
0.500 0.000 0.000
```

Properties
* uncorrected formation energy: 4.03 eV per formula unit
* density: 5.391 Mg/m³
* DFT total energy: -4.52 eV/atom
* SG: P4/mmm (123)
* DOS at the Fermi energy: 1.2782 states/eV/atom



Al5Cd3O12 | GGA-PBE | optimized geometry

```
Al5Cd3O12
1.0
-6.375 2.081 8.156
5.941 -8.438 2.240
6.244 8.323 -1.801
Cd Al O
12 20 48
direct
0.750 0.375 0.125
0.875 0.750 0.125
0.375 0.750 0.625
0.250 0.125 0.375
0.875 0.125 0.250
0.375 0.625 0.250
0.625 0.375 0.750
0.125 0.875 0.750
0.750 0.875 0.625
0.625 0.250 0.375
0.125 0.250 0.875
0.250 0.625 0.875
0.125 0.375 0.250
0.000 0.500 0.000
0.000 0.000 0.000
0.375 0.250 0.125
0.500 0.000 0.500
0.500 0.500 0.000
0.125 0.750 0.375
0.750 0.125 0.875
0.750 0.625 0.375
0.375 0.125 0.750
0.625 0.875 0.250
0.500 0.500 0.500
0.500 0.000 0.000
0.000 0.000 0.500
0.250 0.375 0.625
0.250 0.875 0.125
0.000 0.500 0.500
0.875 0.250 0.625
0.625 0.750 0.875
0.875 0.625 0.750
0.691 0.116 0.013
0.321 0.513 0.397
0.987 0.384 0.309
0.513 0.191 0.116
0.576 0.691 0.679
0.987 0.603 0.179
0.321 0.809 0.424
0.103 0.924 0.116
0.603 0.987 0.679
0.691 0.576 0.179
0.809 0.487 0.384
0.821 0.897 0.013
0.116 0.691 0.513
0.384 0.397 0.076
0.076 0.897 0.384
0.424 0.116 0.603
0.076 0.179 0.191
0.487 0.679 0.103
0.821 0.924 0.309
0.116 0.424 0.103
0.384 0.987 0.809
0.603 0.616 0.424
0.897 0.821 0.513
0.809 0.321 0.924
0.397 0.384 0.576
0.103 0.179 0.487
0.191 0.679 0.076
0.179 0.076 0.691
0.616 0.013 0.191
0.884 0.576 0.897
0.513 0.321 0.897
0.576 0.884 0.397
0.924 0.821 0.809
0.924 0.103 0.616
0.884 0.309 0.487
0.179 0.103 0.987
0.616 0.603 0.924
0.397 0.013 0.321
0.309 0.424 0.821
0.191 0.513 0.616
0.897 0.076 0.884
0.679 0.191 0.576
0.487 0.809 0.884
0.013 0.397 0.821
0.424 0.309 0.321
0.013 0.616 0.691
0.679 0.487 0.603
0.309 0.884 0.987
```

Properties
* uncorrected formation energy: -41.05 eV per formula unit
* density: 4.867 Mg/m³
* DFT total energy: -6.10 eV/atom
* SG: Ia-3d (230)
* DOS at the Fermi energy: 0.5197 states/eV/atom



Sc5Tl2Co2 | GGA-PBE | optimized geometry

```
Sc5Tl2Co2
1.0
1.333 -2.082 6.441
3.565 -5.244 -2.433
7.296 3.432 3.294
Sc Tl Co
10 4 4
direct
0.000 0.000 0.000
0.500 0.500 0.000
0.432 0.175 0.776
0.791 0.825 0.776
0.291 0.675 0.776
0.932 0.325 0.776
0.568 0.825 0.224
0.209 0.175 0.224
0.709 0.325 0.224
0.068 0.675 0.224
0.228 0.000 0.544
0.728 0.500 0.544
0.772 0.000 0.456
0.272 0.500 0.456
0.122 0.380 0.000
0.878 0.620 0.000
0.378 0.880 0.000
0.622 0.120 0.000
```

Properties
* density: 6.659 Mg/m³
* DFT total energy: -5.91 eV/atom
* ΔH_f (0 K): -2.58 eV/f.u.
* SG: Cmce (64)
* DOS at the Fermi energy: 0.9056 states/eV/atom



Tl3InSe | GGA-PBE | optimized geometry

```
Tl3InSe
1.0
5.705 0.000 0.000
0.000 5.705 0.000
0.000 0.000 5.705
Tl Se In
3 1 1
direct
0.000 0.500 0.000
0.000 0.000 0.500
0.500 0.000 0.000
0.500 0.500 0.500
0.000 0.000 0.000
```

Properties
* uncorrected formation energy: 1.20 eV per formula unit
* distance to the lowest polymorph of the same formula: 0.013 eV per atom
* density: 7.218 Mg/m³
* DFT total energy: -2.42 eV/atom
* SG: Pm-3m (221)
* DOS at the Fermi energy: 0.2438 states/eV/atom



ZrSiPt | GGA-PBE | optimized geometry

```
ZrSiPt
1.0
-2.686 1.457 4.862
-4.083 -1.095 3.888
1.387 -1.606 2.215
Pt Si Zr
1 1 1
direct
0.026 0.026 0.974
0.649 0.649 0.351
0.325 0.325 0.675
```

Properties
* uncorrected formation energy: -2.21 eV per formula unit
* density: 10.435 Mg/m³
* DFT total energy: -7.41 eV/atom
* SG: I4mm (107)
* DOS at the Fermi energy: 0.6972 states/eV/atom



Repeat the fourth record exactly.
Sc5Tl2Co2 | GGA-PBE | optimized geometry

```
Sc5Tl2Co2
1.0
1.333 -2.082 6.441
3.565 -5.244 -2.433
7.296 3.432 3.294
Sc Tl Co
10 4 4
direct
0.000 0.000 0.000
0.500 0.500 0.000
0.432 0.175 0.776
0.791 0.825 0.776
0.291 0.675 0.776
0.932 0.325 0.776
0.568 0.825 0.224
0.209 0.175 0.224
0.709 0.325 0.224
0.068 0.675 0.224
0.228 0.000 0.544
0.728 0.500 0.544
0.772 0.000 0.456
0.272 0.500 0.456
0.122 0.380 0.000
0.878 0.620 0.000
0.378 0.880 0.000
0.622 0.120 0.000
```

Properties
* density: 6.659 Mg/m³
* DFT total energy: -5.91 eV/atom
* ΔH_f (0 K): -2.58 eV/f.u.
* SG: Cmce (64)
* DOS at the Fermi energy: 0.9056 states/eV/atom



Question: Which of these has the lowest DFT total energy?
Answer: ZrSiPt



Question: The highest DOS at the Fermi energy belongs to which entry?
Answer: V2TePbI



Copy entry 2 word for word.
V2TePbI | GGA-PBE | optimized geometry

```
V2TePbI
1.0
-4.494 2.471 -0.903
1.026 -0.436 -6.304
-2.495 -4.570 -0.090
Pb I Te V
1 1 1 2
direct
0.000 0.500 0.000
0.500 0.500 0.500
0.000 0.000 0.000
0.000 0.000 0.500
0.500 0.000 0.000
```

Properties
* uncorrected formation energy: 4.03 eV per formula unit
* density: 5.391 Mg/m³
* DFT total energy: -4.52 eV/atom
* SG: P4/mmm (123)
* DOS at the Fermi energy: 1.2782 states/eV/atom